# YMgTe2

A geometry-optimized YMgTe2 structure (PBE-GGA, Alexandria via LeMat-Bulk).

a b c (Å): 5.4255 5.4255 5.4255
angles (deg): 126.84 115.40 88.37
With the nearest neighbours (Å) after each atom.
Element x y z (fractional)
Te: 0.4853 0.4853 0.0000  2 Mg 3.04, 2 Y 3.18
Mg: 0.2500 0.7500 0.5000  4 Te 3.04
Te: 0.0147 0.0147 0.0000  2 Mg 3.04, 2 Y 3.18
Y: 0.7500 0.2500 0.5000  8 Te 3.18-3.43

## Properties
**Fermi-level density of states**: 2.593 states/eV/cell
**SG**: No. 71
**Size of the total moment**: 0.000 μB/atom
**Uncorrected formation energy**: -0.7887 eV per atom

---

# BaAl2Ag

A geometry-optimized BaAl2Ag structure (PBE-GGA, Alexandria via LeMat-Bulk).

a b c (Å): 5.1283 4.5315 4.5315
angles (deg): 90.00 90.00 90.00
With the nearest neighbours (Å) after each atom.
Element x y z (fractional)
Ag: 0.5000 0.0000 0.5000  4 Ba 3.20, 8 Al 3.42
Al: 0.0000 0.5000 0.5000  4 Al 3.20, 4 Ag 3.42, 4 Ba 3.42
Al: 0.0000 0.0000 0.0000  4 Al 3.20, 4 Ba 3.42, 4 Ag 3.42
Ba: 0.5000 0.5000 0.0000  4 Ag 3.20, 8 Al 3.42

## Properties
**Fermi-level density of states**: 2.670 states/eV/cell
**SG**: No. 123
**Formation energy**: 0.176 eV/atom
**Size of the total moment**: 0.000 μB/atom

---

# Ce4AlHg3

A geometry-optimized Ce4AlHg3 structure (PBE-GGA, Alexandria via LeMat-Bulk).

a b c (Å): 3.9401 3.9401 13.8458
angles (deg): 90.00 90.00 90.00
With the nearest neighbours (Å) after each atom.
Element x y z (fractional)
Ce: 0.0000 0.0000 0.1029  1 Ce 2.85, 4 Al 3.13
Al: 0.5000 0.5000 0.0000  8 Ce 3.13, 2 Hg 3.24
Ce: 0.0000 0.0000 0.6308  8 Hg 3.32-3.36, 2 Ce 3.62-3.69
Hg: 0.5000 0.5000 0.7662  1 Al 3.24, 8 Ce 3.32-3.36
Hg: 0.5000 0.5000 0.5000  8 Ce 3.32, 2 Hg 3.69
Hg: 0.5000 0.5000 0.2338  1 Al 3.24, 8 Ce 3.32-3.36
Ce: 0.0000 0.0000 0.8971  1 Ce 2.85, 4 Al 3.13
Ce: 0.0000 0.0000 0.3692  8 Hg 3.32-3.36, 2 Ce 3.62-3.69

## Properties
**Fermi-level density of states**: 27.246 states/eV/cell
**SG**: No. 123
**Formation energy**: -0.273 eV/atom
**Size of the total moment**: 0.578 μB/atom

---

# KMgCu3

A geometry-optimized KMgCu3 structure (PBE-GGA, Alexandria via LeMat-Bulk).

a b c (Å): 4.9521 4.9521 4.9521
angles (deg): 90.00 90.00 90.00
With the nearest neighbours (Å) after each atom.
Element x y z (fractional)
Mg: 0.0000 0.0000 0.0000  6 Cu 2.48
K: 0.5000 0.5000 0.5000  12 Cu 3.50
Cu: 0.0000 0.5000 0.0000  2 Mg 2.48
Cu: 0.0000 0.0000 0.5000  2 Mg 2.48
Cu: 0.5000 0.0000 0.0000  2 Mg 2.48

## Properties
**Fermi-level density of states**: 1.341 states/eV/cell
**SG**: No. 221
**Formation energy**: 0.625 eV/atom
**Size of the total moment**: 0.000 μB/atom